Ac5Se6, relaxed, DFT GGA-PBE; calculated volume = 376 Å³/f.u.; ρ = 7.10 g/cm3; magnetization = 0.00 μB/f.u.; energy = -0.2089 hartree per atom; formation energy from raw total energies = -1.915 eV/atom
1.0
3.8742 -6.6841 0.0000
3.8742 6.6841 0.0000
-2.5569 0.0000 7.2620
Ac Se
5 6
Direct
0.0000 0.0000 0.0000
0.1664 0.8336 0.5000
0.3371 0.6629 0.0000
0.6629 0.3371 0.0000
0.8336 0.1664 0.5000
0.0805 0.4159 0.2481
0.2487 0.2487 0.7453
0.4159 0.0805 0.2481
0.5841 0.9195 0.7519
0.7513 0.7513 0.2547
0.9195 0.5841 0.7519